A plane-wave DFT calculation with PBE was carried out for crystalline HAuSCl2 at its relaxed geometry.

```
HAuSCl2
1.0
5.2010 0.0000 0.0000
0.0000 5.2010 0.0000
0.0000 0.0000 3.1855
Cl Au S H
2 1 1 1
Direct
0.5000 0.0000 0.0000 Cl
0.0000 0.5000 0.0000 Cl
0.5000 0.5000 0.5000 Au
0.0000 0.0000 0.5000 S
0.0000 0.0000 0.0000 H
```

Properties
Space-group type   P4/mmm (123)
Total moment   1.19 μB/f.u.
DOS(E_F)   0.80 states/eV per atom
E above lowest polymorph   0.00 kcal/mol of atoms
Total energy   -2.294 eV/atom



A plane-wave DFT calculation with PBE was carried out for crystalline TlH2AuCl8 at its relaxed geometry.

```
TlH2AuCl8
1.0
7.3777 -1.5287 -0.9274
-1.6274 7.2979 1.6231
-1.2670 2.2582 7.9358
Tl Au Cl H
1 1 8 2
Direct
0.0000 0.0000 0.5000 Tl
0.0000 0.0000 0.0000 Au
0.1112 0.7495 0.7845 Cl
0.3290 0.2005 0.0363 Cl
0.5925 0.7396 0.5701 Cl
0.0229 0.7793 0.3161 Cl
0.6710 0.7995 0.9637 Cl
0.9771 0.2207 0.6839 Cl
0.4075 0.2604 0.4299 Cl
0.8888 0.2505 0.2155 Cl
0.3754 0.2360 0.2735 H
0.6246 0.7640 0.7265 H
```

Properties
Space-group type   P-1 (2)
Total moment   0.00 μB/f.u.
DOS(E_F)   0.00 states/eV per atom
Total energy   -2.744 eV/atom